Density functional theory data (PBE-GGA) for Zr4HRh after structural relaxation.

Unit cell a=8.3432 b=8.3432 c=6.9176 alpha=90.00 beta=90.00 gamma=90.00
Closest atoms and distances in Å follow each position.
Space group I4_1/amd (No. 141, origin choice 2)
Symmetry-distinct sites (fractional):
Zr 0.0000 0.0452 0.2254 [16 per cell]  1 H 2.00
H 0.0000 0.2500 0.3750 [4 per cell]  4 Zr 2.00
Rh 0.0000 0.2500 0.8750 [4 per cell]  4 Zr 2.56

Results
E: -183.8 eV for the cell shown



Density functional theory data (PBE-GGA) for ScCr3 after structural relaxation.

Unit cell a=4.3774 b=4.3774 c=3.1158 alpha=90.00 beta=90.00 gamma=90.00
Closest atoms and distances in Å follow each position.
Space group P4/mmm (No. 123)
Symmetry-distinct sites (fractional):
Sc 0.0000 0.0000 0.0000 [1 per cell]  8 Cr 2.69
Cr 0.0000 0.5000 0.5000 [2 per cell]  4 Cr 2.69, 4 Sc 2.69
Cr 0.5000 0.5000 0.0000 [1 per cell]  8 Cr 2.69

Results
ΔE_f: 0.304 eV per atom



Density functional theory data (PBE-GGA) for Cd5Ni4 after structural relaxation.

Unit cell a=8.3939 b=8.3939 c=4.1398 alpha=90.00 beta=90.00 gamma=90.00
Closest atoms and distances in Å follow each position.
Space group I4/mmm (No. 139)
Symmetry-distinct sites (fractional):
Cd 0.0000 0.0000 0.0000 [2 per cell]  8 Cd 2.92, 4 Ni 3.00
Cd 0.1735 0.1735 0.5000 [8 per cell]  6 Ni 2.75-2.96, 6 Cd 2.75-2.92
Ni 0.0000 0.3571 0.0000 [8 per cell]  5 Ni 2.40-2.68

Results
ΔE_f: 0.127 eV per atom



Density functional theory data (PBE-GGA) for Ba2SmSb3Pt4 after structural relaxation.

Unit cell a=4.7628 b=4.7628 c=11.2977 alpha=90.00 beta=90.00 gamma=90.00
Closest atoms and distances in Å follow each position.
Space group P-4m2 (No. 115)
Symmetry-distinct sites (fractional):
Ba 0.0000 0.5000 0.2298 [2 per cell]  8 Pt 3.52-3.66, 7 Sb 3.59-3.94, 2 Sm 3.87
Sm 0.0000 0.0000 0.5000 [1 per cell]  4 Pt 2.88
Sb 0.0000 0.5000 0.8810 [2 per cell]  5 Pt 2.69-2.73
Sb 0.5000 0.5000 0.5000 [1 per cell]  4 Pt 2.88
Pt 0.0000 0.0000 0.0000 [1 per cell]  4 Sb 2.73
Pt 0.0000 0.5000 0.6427 [2 per cell]  3 Sb 2.69-2.88, 2 Sm 2.88
Pt 0.5000 0.5000 0.0000 [1 per cell]  4 Sb 2.73

Results
energy relative to the elements, uncorrected: -879 meV/atom